The following is a meta-GGA SCAN calculation of a crystal of CuSBrN2 relaxed with PBEsol, from Alexandria via LeMat-Bulk.

Properties
For the density of states at the Fermi level, the calculation gives 0.3231 states/eV/atom. As for the total energy: -55.54 eV per cell. For the formation energy (no corrections), the calculation gives 1.47 eV per atom. The value obtained for the total magnetization is 4.18 μB per cell.

```
CuSBrN2
1.0
3.708 0.000 0.000
0.000 3.708 0.000
0.000 0.000 5.623
Cu S Br N
1 1 1 2
direct
0.000 0.000 0.000
0.000 0.000 0.500
0.500 0.500 0.500
0.000 0.500 0.000
0.500 0.000 0.000
```

=====

The following is a meta-GGA SCAN calculation of a crystal of Na2CuBr relaxed with PBEsol, from Alexandria via LeMat-Bulk.

Properties
As for the total energy: -44.61 eV per cell. For the formation energy (no corrections), the calculation gives -0.38 eV per atom. The value obtained for the total magnetization is 0.00 μB per cell.

```
Na2CuBr
1.0
0.000 3.596 3.596
3.596 0.000 3.596
3.596 3.596 0.000
Na Cu Br
2 1 1
direct
0.250 0.250 0.250
0.750 0.750 0.750
0.000 0.000 0.000
0.500 0.500 0.500
```

=====

The following is a meta-GGA SCAN calculation of a crystal of NaCuBr2 relaxed with PBEsol, from Alexandria via LeMat-Bulk.

Properties
For the density of states at the Fermi level, the calculation gives 0.0000 states/eV/atom. As for the total energy: -124.26 eV per cell. For the formation energy (no corrections), the calculation gives -0.95 eV per atom. The value obtained for the total magnetization is 0.00 μB per cell.

```
NaCuBr2
1.0
-3.208 3.208 5.200
3.208 -3.208 5.200
3.208 3.208 -5.200
Na Cu Br
2 2 4
direct
0.000 0.000 0.000
0.750 0.250 0.500
0.250 0.750 0.500
0.500 0.500 0.000
0.178 0.625 0.053
0.375 0.428 0.553
0.572 0.125 0.947
0.875 0.822 0.447
```

=====

Number 1: mass density 4.372 g cm⁻³. Number 2: mass density 3.381 g cm⁻³. Number 3: mass density 3.821 g cm⁻³.